Entry 1:
The following is a DFT calculation (GGA-PBE) of TlB3W4 after structural relaxation.

```
TlB3W4
1.0
3.157 0.000 0.000
-1.578 2.734 0.000
0.000 0.000 24.831
Tl B W
2 6 8
Cartesian
0.000 1.823 6.208
1.578 0.911 18.623
0.000 0.000 0.000
0.000 0.000 12.416
0.000 1.823 15.034
0.000 1.823 22.213
1.578 0.911 2.618
1.578 0.911 9.798
0.000 0.000 3.760
0.000 0.000 8.656
0.000 0.000 16.175
0.000 0.000 21.072
0.000 1.823 1.347
0.000 1.823 11.069
1.578 0.911 13.763
1.578 0.911 23.484
```



Entry 2:
The following is a DFT calculation (GGA-PBE) of GaSb2Pd6 after structural relaxation.

```
GaSb2Pd6
1.0
7.170 0.000 0.000
-3.585 6.209 0.000
0.000 0.000 3.422
Ga Sb Pd
1 2 6
Cartesian
0.000 0.000 0.000
0.000 4.139 1.711
3.585 2.070 1.711
-0.952 1.648 1.711
-2.221 3.847 0.000
1.903 0.000 1.711
1.364 2.362 0.000
4.442 0.000 0.000
2.633 4.561 1.711
```



Entry 3:
The following is a DFT calculation (GGA-PBE) of MgSbPt after structural relaxation.

```
MgSbPt
1.0
7.730 0.000 0.000
-3.865 6.695 0.000
0.000 0.000 3.391
Mg Sb Pt
3 3 3
Cartesian
-1.127 1.952 0.000
2.254 0.000 0.000
2.738 4.742 0.000
0.000 0.000 1.695
0.000 4.463 0.000
3.865 2.232 0.000
-2.471 4.280 1.695
1.394 2.415 1.695
4.942 0.000 1.695
```



Entry 4:
The following is a DFT calculation (GGA-PBE) of CsThAuSe3 after structural relaxation.

```
CsThAuSe3
1.0
2.162 -8.110 0.000
2.162 8.110 0.000
0.000 0.000 11.019
Cs Th Au Se
2 2 2 6
Cartesian
2.162 4.080 8.264
2.162 -4.080 2.755
2.162 0.000 0.000
2.162 0.000 5.510
2.162 7.516 2.755
2.162 -7.516 8.264
2.162 6.161 0.511
2.162 6.161 4.998
2.162 1.053 2.755
2.162 -1.053 8.264
2.162 -6.161 6.021
2.162 -6.161 10.508
```



Entry 5:
The following is a DFT calculation (GGA-PBE) of LaNpZn after structural relaxation.

Calculated values
Energy of formation ... 503.9 meV per atom
Energy above the lowest structure with this stoichiometry ... 0.000 eV/atom

```
LaNpZn
1.0
0.000 3.530 3.530
3.530 0.000 3.530
3.530 3.530 0.000
La Np Zn
1 1 1
Cartesian
0.000 0.000 0.000
3.530 3.530 3.530
5.294 5.294 5.294
```



Entry 6:
The following is a DFT calculation (GGA-PBE) of Cu2Ag3 after structural relaxation.

Calculated values
Energy of formation ... 66.5 meV per atom
Energy above the lowest structure with this stoichiometry ... 0.034 eV/atom

```
Cu2Ag3
1.0
2.868 0.000 0.000
0.000 2.868 0.000
0.000 0.000 18.837
Cu Ag
4 6
Cartesian
0.717 0.717 0.739
0.717 0.717 4.415
2.151 2.151 14.422
2.151 2.151 18.098
0.717 0.717 8.360
0.717 0.717 12.610
0.717 0.717 16.255
2.151 2.151 2.583
2.151 2.151 6.228
2.151 2.151 10.477
```



| no. | uncorrected energy (eV/atom) |
| --- | --- |
| 1 | -9.29 |
| 2 | -5.25 |
| 3 | -4.10 |
| 4 | -4.99 |
| 5 | -5.82 |
| 6 | -3.11 |